[1]
DyY2Mg5Sc2 | PBE-GGA | optimized geometry

Properties
energy of formation from the pure elements	3	kJ per mole of atoms
crystal system	tetragonal

Lattice parameters (Å, degrees): 10.360 10.360 4.945 90.00 90.00 90.00
Space group P4/mbm (No. 127)
One atom of each set of equivalent atoms:
Dy 0.000 0.000 0.000 x2
Y 0.179 0.321 0.000 x4
Mg 0.000 0.500 0.500 x2
Mg 0.069 0.797 0.500 x8
Sc 0.116 0.616 0.000 x4



[2]
KI2OF | PBE-GGA | optimized geometry

Properties
crystal system	tetragonal
formation energy from raw total energies	0.3885	eV per atom

Lattice parameters (Å, degrees): 6.731 6.731 4.775 90.00 90.00 90.00
Space group P4/mmm (No. 123)
One atom of each set of equivalent atoms:
K 0.000 0.000 0.000 x1
I 0.000 0.500 0.000 x2
O 0.000 0.000 0.500 x1
F 0.500 0.500 0.500 x1



[3]
IrPb2Au | PBE-GGA | optimized geometry

Properties
energy of formation from the pure elements	39	kJ per mole of atoms
crystal system	tetragonal

Lattice parameters (Å, degrees): 4.256 4.256 9.649 90.00 90.00 90.00
Space group I-4m2 (No. 119)
One atom of each set of equivalent atoms:
Ir 0.000 0.000 0.000 x2
Pb 0.000 0.000 0.500 x2
Pb 0.000 0.500 0.750 x2
Au 0.000 0.500 0.250 x2



[4]
Ce4PtSe2Cl | PBE-GGA | optimized geometry

Properties
crystal system	monoclinic
formation energy from raw total energies	-1.5046	eV per atom

Lattice parameters (Å, degrees): 7.217 4.074 7.394 90.00 109.20 90.00
Space group P2/m (No. 10)
One atom of each set of equivalent atoms:
Ce 0.239 0.000 0.239 x2
Ce 0.251 0.500 0.751 x2
Pt 0.000 0.500 0.000 x1
Se 0.000 0.000 0.500 x1
Se 0.500 0.500 0.500 x1
Cl 0.500 0.000 0.000 x1



[5]
ZnMo2Os | PBE-GGA | optimized geometry

Properties
energy of formation from the pure elements	8	kJ per mole of atoms
crystal system	monoclinic

Lattice parameters (Å, degrees): 2.764 4.054 5.340 90.00 90.15 90.00
Space group P2/m (No. 10)
One atom of each set of equivalent atoms:
Zn 0.000 0.000 0.000 x1
Mo 0.499 0.500 0.254 x2
Os 0.000 0.000 0.500 x1



[6]
Ac3Ge6Pd2Pt | PBE-GGA | optimized geometry

Properties
energy of formation from the pure elements	-44	kJ per mole of atoms
crystal system	trigonal

Lattice parameters (Å, degrees): 6.3066 6.3066 8.3052 90.00 90.00 120.00
Space group P-3m1 (No. 164)
One atom of each set of equivalent atoms:
Ac 0.0000 0.0000 0.0000 x1
Ac 0.3333 0.6667 0.6693 x2
Ge 0.1929 0.3858 0.3068 x6
Pd 0.3333 0.6667 0.0444 x2
Pt 0.0000 0.0000 0.5000 x1



[7]
PmMg2Zn2Ge2 | PBE-GGA | optimized geometry

Properties
energy of formation from the pure elements	-27	kJ per mole of atoms
crystal system	trigonal

Lattice parameters (Å, degrees): 4.5228 4.5228 23.4513 90.00 90.00 120.00
Space group R-3m (No. 166, hexagonal axes)
One atom of each set of equivalent atoms:
Pm 0.0000 0.0000 0.0000 x3
Mg 0.0000 0.0000 0.1385 x6
Zn 0.0000 0.0000 0.4373 x6
Ge 0.0000 0.0000 0.2574 x6



[8]
Dy3Th | PBE-GGA | optimized geometry

Properties
energy of formation from the pure elements	4	kJ per mole of atoms
crystal system	cubic

Lattice parameters (Å, degrees): 5.018 5.018 5.018 90.00 90.00 90.00
Space group Pm-3m (No. 221)
One atom of each set of equivalent atoms:
Dy 0.000 0.000 0.500 x3
Th 0.500 0.500 0.500 x1